No. 1
Material: NaGa2I8
Method: DFT, PBE
State: relaxed

Geometry as POSCAR:
```
NaGa2I8
1.0
7.955 -5.220 0.000
7.955 5.220 0.000
-1.839 0.000 6.968
Na Ga I
1 2 8
direct
0.000 0.000 0.000
0.174 0.174 0.670
0.826 0.826 0.330
0.111 0.711 0.255
0.187 0.187 0.323
0.289 0.889 0.745
0.325 0.325 0.906
0.675 0.675 0.094
0.711 0.111 0.255
0.813 0.813 0.677
0.889 0.289 0.745
```

SG: No. 12
Total DFT energy (no corrections) (eV for the cell shown): -25.6
Raw formation energy (eV/atom): -0.530
Calculated volume (A^3/atom): 52.6
Density (g/cm³): 3.4
M_tot (μB/cell): 0.000

=====

No. 2
Material: NaGa2I4
Method: DFT, PBE
State: relaxed

Geometry as POSCAR:
```
NaGa2I4
1.0
-4.358 4.358 3.891
4.358 -4.358 3.891
4.358 4.358 -3.891
Na Ga I
1 2 4
direct
0.000 0.000 0.000
0.250 0.750 0.500
0.750 0.250 0.500
0.188 0.689 0.877
0.311 0.188 0.499
0.689 0.812 0.501
0.812 0.311 0.123
```

SG: No. 87
Total DFT energy (no corrections) (eV for the cell shown): -17.0
Raw formation energy (eV/atom): -0.486
Calculated volume (A^3/atom): 42.2
Density (g/cm³): 3.8
M_tot (μB/cell): 0.000

=====

No. 3
Material: NaGaI3
Method: DFT, PBE
State: relaxed

Geometry as POSCAR:
```
NaGaI3
1.0
5.804 0.000 0.000
0.000 5.804 0.000
0.000 0.000 5.804
Na Ga I
1 1 3
direct
0.000 0.000 0.000
0.500 0.500 0.500
0.000 0.500 0.500
0.500 0.000 0.500
0.500 0.500 0.000
```

SG: No. 221
Total DFT energy (no corrections) (eV for the cell shown): -11.9
Raw formation energy (eV/atom): -0.571
Calculated volume (A^3/atom): 39.1
Density (g/cm³): 4.0
M_tot (μB/cell): 0.000

=====

No. 4
Material: NaGaI3
Method: DFT, PBE
State: relaxed

Geometry as POSCAR:
```
NaGaI3
1.0
8.144 0.000 0.000
0.000 7.310 0.000
-6.413 0.000 14.299
Na Ga I
4 4 12
direct
0.184 0.025 0.162
0.184 0.475 0.662
0.816 0.525 0.338
0.816 0.975 0.838
0.369 0.562 0.434
0.369 0.938 0.934
0.631 0.062 0.066
0.631 0.438 0.566
0.150 0.190 0.825
0.150 0.310 0.325
0.157 0.746 0.990
0.157 0.754 0.490
0.480 0.727 0.830
0.480 0.773 0.330
0.520 0.227 0.670
0.520 0.273 0.170
0.843 0.246 0.510
0.843 0.254 0.010
0.850 0.690 0.675
0.850 0.810 0.175
```

SG: No. 14
Total DFT energy (no corrections) (eV for the cell shown): -52.0
Raw formation energy (eV/atom): -0.802
Calculated volume (A^3/atom): 42.6
Density (g/cm³): 3.7
M_tot (μB/cell): 0.000

=====

No. 5
Material: Na2Ga2I
Method: DFT, PBE
State: relaxed

Geometry as POSCAR:
```
Na2Ga2I
1.0
-2.333 2.333 6.800
2.333 -2.333 6.800
2.333 2.333 -6.800
Na Ga I
2 2 1
direct
0.250 0.750 0.500
0.750 0.250 0.500
0.091 0.091 0.000
0.909 0.909 0.000
0.500 0.500 0.000
```

SG: No. 139
Total DFT energy (no corrections) (eV for the cell shown): -10.4
Raw formation energy (eV/atom): -0.035
Calculated volume (A^3/atom): 29.6
Density (g/cm³): 3.5
M_tot (μB/cell): 0.000

=====

No. 6
Material: Na3Ga5I12
Method: DFT, PBE
State: relaxed

Geometry as POSCAR:
```
Na3Ga5I12
1.0
-9.430 9.430 9.430
9.430 -9.430 9.430
9.430 9.430 -9.430
Na Ga I
12 20 48
direct
0.125 0.250 0.375
0.125 0.375 0.750
0.250 0.375 0.125
0.250 0.875 0.625
0.375 0.125 0.250
0.375 0.750 0.125
0.625 0.250 0.875
0.625 0.875 0.750
0.750 0.125 0.375
0.750 0.625 0.875
0.875 0.625 0.250
0.875 0.750 0.625
0.000 0.000 0.000
0.000 0.000 0.500
0.000 0.500 0.000
0.000 0.500 0.500
0.125 0.750 0.875
0.125 0.875 0.250
0.250 0.125 0.875
0.250 0.625 0.375
0.375 0.250 0.625
0.375 0.625 0.750
0.500 0.000 0.000
0.500 0.000 0.500
0.500 0.500 0.000
0.500 0.500 0.500
0.625 0.375 0.250
0.625 0.750 0.375
0.750 0.375 0.625
0.750 0.875 0.125
0.875 0.125 0.750
0.875 0.250 0.125
0.026 0.212 0.124
0.026 0.314 0.902
0.088 0.712 0.686
0.088 0.876 0.402
0.098 0.624 0.412
0.098 0.974 0.686
0.124 0.026 0.212
0.124 0.598 0.912
0.186 0.212 0.588
0.186 0.474 0.598
0.212 0.124 0.026
0.212 0.588 0.186
0.288 0.314 0.912
0.288 0.474 0.376
0.314 0.902 0.026
0.314 0.912 0.288
0.376 0.288 0.474
0.376 0.588 0.902
0.402 0.088 0.876
0.402 0.814 0.526
0.412 0.098 0.624
0.412 0.814 0.788
0.474 0.376 0.288
0.474 0.598 0.186
0.526 0.402 0.814
0.526 0.624 0.712
0.588 0.186 0.212
0.588 0.902 0.376
0.598 0.186 0.474
0.598 0.912 0.124
0.624 0.412 0.098
0.624 0.712 0.526
0.686 0.088 0.712
0.686 0.098 0.974
0.712 0.526 0.624
0.712 0.686 0.088
0.788 0.412 0.814
0.788 0.876 0.974
0.814 0.526 0.402
0.814 0.788 0.412
0.876 0.402 0.088
0.876 0.974 0.788
0.902 0.026 0.314
0.902 0.376 0.588
0.912 0.124 0.598
0.912 0.288 0.314
0.974 0.686 0.098
0.974 0.788 0.876
```

SG: No. 230
Total DFT energy (no corrections) (eV for the cell shown): -196.8
Raw formation energy (eV/atom): -0.576
Calculated volume (A^3/atom): 41.9
Density (g/cm³): 3.8
M_tot (μB/cell): 0.000

=====

No. 7
Material: NaGa2I
Method: DFT, PBE
State: relaxed

Geometry as POSCAR:
```
NaGa2I
1.0
0.000 3.903 3.903
3.903 0.000 3.903
3.903 3.903 0.000
Na Ga I
1 2 1
direct
0.000 0.000 0.000
0.250 0.250 0.250
0.750 0.750 0.750
0.500 0.500 0.500
```

SG: No. 225
Total DFT energy (no corrections) (eV for the cell shown): -8.4
Raw formation energy (eV/atom): 0.135
Calculated volume (A^3/atom): 29.7
Density (g/cm³): 4.0
M_tot (μB/cell): 0.000

=====

No. 8
Material: Na6GaI8
Method: DFT, PBE
State: relaxed

Geometry as POSCAR:
```
Na6GaI8
1.0
11.387 0.000 0.000
-5.694 9.862 0.000
0.000 0.000 4.923
Na Ga I
6 1 8
direct
0.123 0.648 0.246
0.352 0.475 0.246
0.475 0.123 0.754
0.525 0.877 0.246
0.648 0.525 0.754
0.877 0.352 0.754
0.000 0.000 0.500
0.033 0.323 0.258
0.290 0.967 0.258
0.323 0.290 0.742
0.333 0.667 0.754
0.667 0.333 0.246
0.677 0.710 0.258
0.710 0.033 0.742
0.967 0.677 0.742
```

SG: No. 147
Total DFT energy (no corrections) (eV for the cell shown): -37.1
Raw formation energy (eV/atom): -0.920
Calculated volume (A^3/atom): 36.9
Density (g/cm³): 3.7
M_tot (μB/cell): 0.000

=====

No. 9
Material: NaGa3I4
Method: DFT, PBE
State: relaxed

Geometry as POSCAR:
```
NaGa3I4
1.0
8.102 0.000 0.000
0.000 9.370 0.000
-2.709 0.000 7.617
Na Ga I
2 6 8
direct
0.000 0.126 0.250
0.000 0.874 0.750
0.000 0.373 0.750
0.000 0.627 0.250
0.500 0.126 0.750
0.500 0.373 0.250
0.500 0.627 0.750
0.500 0.874 0.250
0.245 0.122 0.001
0.245 0.878 0.501
0.248 0.373 0.497
0.248 0.627 0.997
0.752 0.373 0.003
0.752 0.627 0.503
0.755 0.122 0.499
0.755 0.878 0.999
```

SG: No. 13
Total DFT energy (no corrections) (eV for the cell shown): -42.3
Raw formation energy (eV/atom): -0.568
Calculated volume (A^3/atom): 36.1
Density (g/cm³): 4.2
M_tot (μB/cell): 0.000

=====

No. 10
Material: Na2GaI4
Method: DFT, PBE
State: relaxed

Geometry as POSCAR:
```
Na2GaI4
1.0
-2.883 2.883 8.236
2.883 -2.883 8.236
2.883 2.883 -8.236
Na Ga I
2 1 4
direct
0.134 0.134 0.000
0.866 0.866 0.000
0.500 0.500 0.000
0.000 0.500 0.500
0.321 0.321 0.000
0.500 0.000 0.500
0.679 0.679 0.000
```

SG: No. 139
Total DFT energy (no corrections) (eV for the cell shown): -17.1
Raw formation energy (eV/atom): -0.741
Calculated volume (A^3/atom): 39.1
Density (g/cm³): 3.8
M_tot (μB/cell): 0.000

=====

No. 11
Material: Na2Ga2I7
Method: DFT, PBE
State: relaxed

Geometry as POSCAR:
```
Na2Ga2I7
1.0
5.620 -6.594 0.000
5.620 6.594 0.000
-2.068 0.000 6.919
Na Ga I
2 2 7
direct
0.198 0.802 0.000
0.802 0.198 0.000
0.282 0.282 0.598
0.718 0.718 0.402
0.098 0.098 0.267
0.098 0.427 0.801
0.427 0.098 0.801
0.500 0.500 0.500
0.573 0.902 0.199
0.902 0.573 0.199
0.902 0.902 0.733
```

SG: No. 12
Total DFT energy (no corrections) (eV for the cell shown): -27.1
Raw formation energy (eV/atom): -0.689
Calculated volume (A^3/atom): 46.6
Density (g/cm³): 3.5
M_tot (μB/cell): 0.000

=====

No. 12
Material: Na2Ga2I7
Method: DFT, PBE
State: relaxed

Geometry as POSCAR:
```
Na2Ga2I7
1.0
7.283 0.000 0.000
0.000 15.911 0.000
-1.746 0.000 8.874
Na Ga I
4 4 14
direct
0.172 0.169 0.351
0.172 0.331 0.851
0.828 0.669 0.149
0.828 0.831 0.649
0.327 0.605 0.673
0.327 0.895 0.173
0.673 0.105 0.827
0.673 0.395 0.327
0.060 0.694 0.496
0.060 0.806 0.996
0.170 0.528 0.876
0.170 0.972 0.376
0.424 0.214 0.679
0.424 0.286 0.179
0.500 0.000 0.000
0.500 0.500 0.500
0.576 0.714 0.821
0.576 0.786 0.321
0.830 0.028 0.624
0.830 0.472 0.124
0.940 0.194 0.004
0.940 0.306 0.504
```

SG: No. 14
Total DFT energy (no corrections) (eV for the cell shown): -54.3
Raw formation energy (eV/atom): -0.692
Calculated volume (A^3/atom): 46.7
Density (g/cm³): 3.5
M_tot (μB/cell): 0.000

=====

No. 13
Material: NaGa3I9
Method: DFT, PBE
State: relaxed

Geometry as POSCAR:
```
NaGa3I9
1.0
10.234 -5.374 0.000
10.234 5.374 0.000
-8.902 0.000 11.876
Na Ga I
2 6 18
direct
0.245 0.755 0.500
0.755 0.245 0.000
0.015 0.265 0.819
0.265 0.015 0.319
0.279 0.476 0.701
0.476 0.279 0.201
0.697 0.805 0.246
0.805 0.697 0.746
0.126 0.134 0.164
0.126 0.891 0.308
0.134 0.126 0.664
0.210 0.347 0.024
0.292 0.704 0.712
0.347 0.210 0.524
0.402 0.445 0.899
0.445 0.402 0.399
0.512 0.760 0.268
0.537 0.970 0.114
0.548 0.847 0.634
0.704 0.292 0.212
0.760 0.512 0.768
0.847 0.548 0.134
0.852 0.925 0.438
0.891 0.126 0.808
0.925 0.852 0.938
0.970 0.537 0.614
```

SG: No. 9
Total DFT energy (no corrections) (eV for the cell shown): -62.3
Raw formation energy (eV/atom): -0.524
Calculated volume (A^3/atom): 50.2
Density (g/cm³): 3.5
M_tot (μB/cell): 0.362

=====

No. 14
Material: NaNdGa2I6
Method: DFT, PBE
State: relaxed

Geometry as POSCAR:
```
NaNdGa2I6
1.0
4.105 2.370 7.319
-4.105 2.370 7.319
0.000 -4.740 7.319
Na Nd Ga I
1 1 2 6
direct
0.000 0.000 0.000
0.494 0.494 0.494
0.305 0.305 0.305
0.809 0.809 0.809
0.107 0.707 0.396
0.230 0.607 0.870
0.396 0.107 0.707
0.607 0.870 0.230
0.707 0.396 0.107
0.870 0.230 0.607
```

SG: No. 146
Total DFT energy (no corrections) (eV for the cell shown): -30.9
Raw formation energy (eV/atom): -0.945
Calculated volume (A^3/atom): 42.7
Density (g/cm³): 4.2
M_tot (μB/cell): 0.000

=====

No. 15
Material: Na2NdGaI6
Method: DFT, PBE
State: relaxed

Geometry as POSCAR:
```
Na2NdGaI6
1.0
4.051 2.339 7.384
-4.051 2.339 7.384
0.000 -4.678 7.384
Na Nd Ga I
2 1 1 6
direct
0.000 0.000 0.000
0.493 0.493 0.493
0.682 0.682 0.682
0.189 0.189 0.189
0.073 0.421 0.779
0.285 0.894 0.601
0.421 0.779 0.073
0.601 0.285 0.894
0.779 0.073 0.421
0.894 0.601 0.285
```

SG: No. 146
Total DFT energy (no corrections) (eV for the cell shown): -31.0
Raw formation energy (eV/atom): -1.125
Calculated volume (A^3/atom): 42.0
Density (g/cm³): 4.0
M_tot (μB/cell): 0.000

=====

No. 16
Material: NaGaIO2
Method: DFT, PBE
State: relaxed

Geometry as POSCAR:
```
NaGaIO2
1.0
3.949 0.000 0.000
0.000 3.949 0.000
0.000 0.000 6.062
Na Ga I O
1 1 1 2
direct
0.000 0.000 0.000
0.500 0.500 0.500
0.500 0.500 0.000
0.000 0.500 0.500
0.500 0.000 0.500
```

SG: No. 123
Total DFT energy (no corrections) (eV for the cell shown): -19.5
Raw formation energy (eV/atom): -0.741
Calculated volume (A^3/atom): 18.9
Density (g/cm³): 4.4
M_tot (μB/cell): 0.000

=====

No. 17
Material: NaGaIO2
Method: DFT, PBE
State: relaxed

Geometry as POSCAR:
```
NaGaIO2
1.0
4.618 0.000 0.000
0.000 4.618 0.000
0.000 0.000 6.268
Na Ga I O
1 1 1 2
direct
0.000 0.000 0.000
0.500 0.500 0.500
0.000 0.000 0.500
0.000 0.500 0.000
0.500 0.000 0.000
```

SG: No. 123
Total DFT energy (no corrections) (eV for the cell shown): -14.8
Raw formation energy (eV/atom): 0.202
Calculated volume (A^3/atom): 26.7
Density (g/cm³): 3.1
M_tot (μB/cell): 2.951

=====

No. 18
Material: NaGaIO5
Method: DFT, PBE
State: relaxed

Geometry as POSCAR:
```
NaGaIO5
1.0
3.460 -4.712 0.000
3.460 4.712 0.000
-2.014 0.000 6.649
Na Ga I O
2 2 2 10
direct
0.196 0.804 0.750
0.804 0.196 0.250
0.500 0.500 0.000
0.500 0.500 0.500
0.161 0.839 0.250
0.839 0.161 0.750
0.130 0.283 0.973
0.169 0.598 0.390
0.283 0.130 0.473
0.402 0.831 0.110
0.436 0.564 0.750
0.564 0.436 0.250
0.598 0.169 0.890
0.717 0.870 0.527
0.831 0.402 0.610
0.870 0.717 0.027
```

SG: No. 15
Total DFT energy (no corrections) (eV for the cell shown): -75.3
Raw formation energy (eV/atom): -0.868
Calculated volume (A^3/atom): 13.6
Density (g/cm³): 4.6
M_tot (μB/cell): 1.973